MgP3Rh PBE relaxed; electronic total energy = -4.58 eV per atom; DOS at the Fermi energy = 5.35 states/eV/cell; calculated formation energy = 0.46 eV per atom
1.0
-2.554 2.919 2.565
-2.598 1.001 -3.725
-2.890 -3.479 1.081
P Mg Rh
3 1 1
direct
0.000 0.500 0.000
0.000 0.000 0.500
0.500 0.000 0.000
0.500 0.500 0.500
0.000 0.000 0.000



Mg2P2Rh PBE relaxed; electronic total energy = -4.79 eV per atom; DOS at the Fermi energy = 6.68 states/eV/cell; calculated formation energy = -0.52 eV per atom
1.0
6.148 0.000 0.000
0.000 6.148 0.000
0.000 0.000 4.197
P Mg Rh
4 4 2
direct
0.371 0.871 0.000
0.871 0.629 0.000
0.629 0.129 0.000
0.129 0.371 0.000
0.183 0.683 0.500
0.683 0.817 0.500
0.817 0.317 0.500
0.317 0.183 0.500
0.000 0.000 0.000
0.500 0.500 0.000



Question: The highest calculated formation energy belongs to which entry?
Answer: MgP3Rh



Please write out number 2 again, unchanged.
Mg2P2Rh PBE relaxed; electronic total energy = -4.79 eV per atom; DOS at the Fermi energy = 6.68 states/eV/cell; calculated formation energy = -0.52 eV per atom
1.0
6.148 0.000 0.000
0.000 6.148 0.000
0.000 0.000 4.197
P Mg Rh
4 4 2
direct
0.371 0.871 0.000
0.871 0.629 0.000
0.629 0.129 0.000
0.129 0.371 0.000
0.183 0.683 0.500
0.683 0.817 0.500
0.817 0.317 0.500
0.317 0.183 0.500
0.000 0.000 0.000
0.500 0.500 0.000



Please write out number 2 again, unchanged.
Mg2P2Rh PBE relaxed; electronic total energy = -4.79 eV per atom; DOS at the Fermi energy = 6.68 states/eV/cell; calculated formation energy = -0.52 eV per atom
1.0
6.148 0.000 0.000
0.000 6.148 0.000
0.000 0.000 4.197
P Mg Rh
4 4 2
direct
0.371 0.871 0.000
0.871 0.629 0.000
0.629 0.129 0.000
0.129 0.371 0.000
0.183 0.683 0.500
0.683 0.817 0.500
0.817 0.317 0.500
0.317 0.183 0.500
0.000 0.000 0.000
0.500 0.500 0.000